# 1
Below is LiYSn after structural relaxation, with properties calculated at the PBE level.

Values from the calculation:
Energy relative to the elements = -0.216 eV per atom
DFT total energy = -4.343 eV per atom

a = 4.9125 Å, b = 4.9125 Å, c = 7.5277 Å
α = 90.00°, β = 90.00°, γ = 90.00°
Last column: nearest neighbours and their distance in Å.
Space group P4/nmm (No. 129, origin choice 2)
Asymmetric unit:
Li1 0.2500 0.2500 0.1370 (multiplicity 2)  1 Sn 2.85
Y1 0.2500 0.7500 0.5000 (multiplicity 2)  4 Sn 3.13, 4 Y 3.47
Sn1 0.2500 0.2500 0.7587 (multiplicity 2)  1 Li 2.85, 4 Y 3.13

***

# 2
Below is ScFe2 after structural relaxation, with properties calculated at the PBE level.

Values from the calculation:
Energy relative to the elements = 0.114 eV per atom
DFT total energy = -7.638 eV per atom

a = 4.4586 Å, b = 4.4586 Å, c = 5.0633 Å
α = 90.00°, β = 90.00°, γ = 120.00°
Last column: nearest neighbours and their distance in Å.
Space group P6_3/mmc (No. 194)
Asymmetric unit:
Sc1 0.3333 0.6667 0.2500 (multiplicity 2)  5 Fe 2.53-2.57
Fe1 0.0000 0.0000 0.0000 (multiplicity 2)  2 Fe 2.53
Fe2 0.3333 0.6667 0.7500 (multiplicity 2)  5 Sc 2.53-2.57

***

# 3
Below is Tb2CF2 after structural relaxation, with properties calculated at the PBE level.

Values from the calculation:
DFT total energy = -6.627 eV per atom

a = 3.4985 Å, b = 3.4985 Å, c = 24.6952 Å
α = 90.00°, β = 90.00°, γ = 120.00°
Last column: nearest neighbours and their distance in Å.
Space group R-3m (No. 166, hexagonal axes)
Asymmetric unit:
Tb1 0.0000 0.0000 0.1085 (multiplicity 6)  3 F 2.42, 3 C 2.48
C1 0.0000 0.0000 0.5000 (multiplicity 3)  6 Tb 2.48, 2 F 2.77
F1 0.0000 0.0000 0.3876 (multiplicity 6)  3 Tb 2.42

***

# 4
Below is GdTlCdNi after structural relaxation, with properties calculated at the PBE level.

Values from the calculation:
Energy relative to the elements = -0.096 eV per atom
DFT total energy = -5.882 eV per atom

a = 7.0199 Å, b = 7.0199 Å, c = 7.0199 Å
α = 90.00°, β = 90.00°, γ = 90.00°
Last column: nearest neighbours and their distance in Å.
Space group F-43m (No. 216)
Asymmetric unit:
Gd1 0.0000 0.0000 0.0000 (multiplicity 4)  4 Tl 3.04, 4 Ni 3.04
Tl1 0.2500 0.2500 0.2500 (multiplicity 4)  4 Cd 3.04, 4 Gd 3.04
Cd1 0.0000 0.0000 0.5000 (multiplicity 4)  4 Tl 3.04, 4 Ni 3.04
Ni1 0.2500 0.2500 0.7500 (multiplicity 4)  4 Cd 3.04, 4 Gd 3.04